1.
## CaAlRe2 (PBE)

Data for a relaxed CaAlRe2 crystal.

a = 4.559 Å, b = 4.559 Å, c = 4.559 Å
α = 60.00°, β = 60.00°, γ = 60.00°
Element x y z (fractional)
Re  0.750  0.750  0.750
Ca  0.250  0.250  0.250
Re  0.000  0.000  0.000
Al  0.500  0.500  0.500

Summary:
- spin magnetization (μB/f.u.) = 0.0
- calculated total energy (eV/atom) = -7.351
- DOS(E_F) (states/eV/cell) = 2.882
- V (Å³ per cell) = 67.0
- symmetry = F-43m, No. 216
- energy of formation (eV per formula unit) = 1.24

---

2.
## CaAlRe (PBE)

Data for a relaxed CaAlRe crystal.

a = 4.798 Å, b = 4.798 Å, c = 2.802 Å
α = 90.00°, β = 90.00°, γ = 120.00°
Element x y z (fractional)
Al  0.000  0.000  0.897
Re  0.333  0.667  0.755
Ca  0.667  0.333  0.349

Summary:
- spin magnetization (μB/f.u.) = 0.0
- calculated total energy (eV/atom) = -5.673
- DOS(E_F) (states/eV/cell) = 3.036
- V (Å³ per cell) = 55.9
- symmetry = P3m1, No. 156
- offset from the most stable computed form (meV per atom) = 173
- energy of formation (eV per formula unit) = 1.17

---

3.
## CaAlRe3 (PBE)

Data for a relaxed CaAlRe3 crystal.

a = 4.588 Å, b = 4.588 Å, c = 4.588 Å
α = 90.00°, β = 90.00°, γ = 90.00°
Element x y z (fractional)
Re  0.000  0.500  0.000
Re  0.000  0.000  0.500
Re  0.500  0.000  0.000
Al  0.500  0.500  0.500
Ca  0.000  0.000  0.000

Summary:
- spin magnetization (μB/f.u.) = 0.0
- calculated total energy (eV/atom) = -5.513
- DOS(E_F) (states/eV/cell) = 8.372
- V (Å³ per cell) = 96.6
- symmetry = Pm-3m, No. 221
- offset from the most stable computed form (meV per atom) = 1590
- energy of formation (eV per formula unit) = 15.52

---

4.
## CaAlRe (PBE)

Data for a relaxed CaAlRe crystal.

a = 4.529 Å, b = 4.529 Å, c = 4.529 Å
α = 60.00°, β = 60.00°, γ = 60.00°
Site moments in Bohr magnetons follow the coordinates.
Element x y z (fractional)
Ca  0.000  0.000  0.000  0.00
Al  0.750  0.750  0.750  -0.03
Re  0.500  0.500  0.500  1.15

Summary:
- spin magnetization (μB/f.u.) = 1.3
- calculated total energy (eV/atom) = -5.218
- DOS(E_F) (states/eV/cell) = 3.460
- V (Å³ per cell) = 65.7
- symmetry = F-43m, No. 216
- offset from the most stable computed form (meV per atom) = 627
- energy of formation (eV per formula unit) = 2.54

---

5.
## CaAlRe (PBE)

Data for a relaxed CaAlRe crystal.

a = 5.774 Å, b = 5.774 Å, c = 5.774 Å
α = 151.36°, β = 138.71°, γ = 51.02°
Element x y z (fractional)
Re  0.377  0.377  0.000
Al  0.951  0.951  0.000
Ca  0.671  0.671  0.000

Summary:
- spin magnetization (μB/f.u.) = 0.0
- calculated total energy (eV/atom) = -5.845
- DOS(E_F) (states/eV/cell) = 1.331
- V (Å³ per cell) = 60.6
- symmetry = Imm2, No. 44
- offset from the most stable computed form (meV per atom) = 0
- energy of formation (eV per formula unit) = 0.66

---

6.
## CaAlRe (PBE)

Data for a relaxed CaAlRe crystal.

a = 7.192 Å, b = 7.125 Å, c = 2.874 Å
α = 79.74°, β = 77.11°, γ = 23.15°
Element x y z (fractional)
Al  0.018  0.018  0.982
Re  0.652  0.652  0.348
Ca  0.330  0.330  0.670

Summary:
- spin magnetization (μB/f.u.) = 0.0
- calculated total energy (eV/atom) = -5.766
- DOS(E_F) (states/eV/cell) = 1.800
- V (Å³ per cell) = 56.3
- symmetry = Fmm2, No. 42
- offset from the most stable computed form (meV per atom) = 80
- energy of formation (eV per formula unit) = 0.90